a) The following is a DFT calculation (PBE-GGA) of a relaxed TaRe2P crystal.

Structure (CIF):
```
data_TaRe2P
_space_group_name_H-M_alt 'P 1'
_space_group_IT_number 1
_cell_length_a 5.2659
_cell_length_b 5.2659
_cell_length_c 5.2659
_cell_angle_alpha 147.53
_cell_angle_beta 130.07
_cell_angle_gamma 60.83
loop_
_space_group_symop_operation_xyz
'x,y,z'
loop_
_atom_site_label
_atom_site_type_symbol
_atom_site_fract_x
_atom_site_fract_y
_atom_site_fract_z
Ta1 Ta 0.0000 0.0000 0.0000
Re1 Re 0.2862 0.7862 0.5000
Re2 Re 0.7138 0.2138 0.5000
P1 P 0.5000 0.5000 0.0000
```

Calculated values
The spin magnetization is 0.00 μB per formula unit. The theoretical density is 16.3 g/cm³. The density of states at the Fermi level comes out at 0.685 states/eV/atom. As for the crystal system: orthorhombic.



b) The following is a DFT calculation (PBE-GGA) of a relaxed TaRe2P crystal.

Structure (CIF):
```
data_TaRe2P
_space_group_name_H-M_alt 'P 1'
_space_group_IT_number 1
_cell_length_a 2.8887
_cell_length_b 2.8887
_cell_length_c 7.1347
_cell_angle_alpha 90.00
_cell_angle_beta 90.00
_cell_angle_gamma 90.00
loop_
_space_group_symop_operation_xyz
'x,y,z'
loop_
_atom_site_label
_atom_site_type_symbol
_atom_site_fract_x
_atom_site_fract_y
_atom_site_fract_z
Ta1 Ta 0.0000 0.0000 0.0000
Re1 Re 0.0000 0.0000 0.4483
Re2 Re 0.5000 0.5000 0.7036
P1 P 0.5000 0.5000 0.2470
```

Calculated values
The spin magnetization is 0.00 μB per formula unit. The theoretical density is 16.3 g/cm³. The density of states at the Fermi level comes out at 0.871 states/eV/atom. As for the crystal system: tetragonal.



c) The following is a DFT calculation (PBE-GGA) of a relaxed TaRe2P crystal.

Structure (CIF):
```
data_TaRe2P
_space_group_name_H-M_alt 'P 1'
_space_group_IT_number 1
_cell_length_a 2.9449
_cell_length_b 2.9449
_cell_length_c 6.8463
_cell_angle_alpha 90.00
_cell_angle_beta 90.00
_cell_angle_gamma 90.00
loop_
_space_group_symop_operation_xyz
'x,y,z'
loop_
_atom_site_label
_atom_site_type_symbol
_atom_site_fract_x
_atom_site_fract_y
_atom_site_fract_z
Ta1 Ta 0.0000 0.0000 0.0000
Re1 Re 0.5000 0.5000 0.2915
Re2 Re 0.5000 0.5000 0.7085
P1 P 0.0000 0.0000 0.5000
```

Calculated values
The spin magnetization is 0.00 μB per formula unit. The theoretical density is 16.3 g/cm³. The density of states at the Fermi level comes out at 0.657 states/eV/atom. As for the crystal system: tetragonal.



Energies, relative to the best one, in eV/atom: a) 0.000; b) 0.065; c) 0.122.



a) The following is a DFT calculation (PBE-GGA) of a relaxed TaRe2P crystal.

Structure (CIF):
```
data_TaRe2P
_space_group_name_H-M_alt 'P 1'
_space_group_IT_number 1
_cell_length_a 2.9118
_cell_length_b 4.3776
_cell_length_c 4.8263
_cell_angle_alpha 90.00
_cell_angle_beta 92.90
_cell_angle_gamma 90.00
loop_
_space_group_symop_operation_xyz
'x,y,z'
loop_
_atom_site_label
_atom_site_type_symbol
_atom_site_fract_x
_atom_site_fract_y
_atom_site_fract_z
Ta1 Ta 0.0000 0.0000 0.0000
Re1 Re 0.3453 0.5000 0.7440
Re2 Re 0.6547 0.5000 0.2560
P1 P 0.5000 0.0000 0.5000
```

Calculated values
The spin magnetization is 0.00 μB per formula unit. The theoretical density is 15.8 g/cm³. The density of states at the Fermi level comes out at 0.574 states/eV/atom. As for the crystal system: monoclinic.



b) The following is a DFT calculation (PBE-GGA) of a relaxed TaRe2P crystal.

Structure (CIF):
```
data_TaRe2P
_space_group_name_H-M_alt 'P 1'
_space_group_IT_number 1
_cell_length_a 3.2164
_cell_length_b 6.2145
_cell_length_c 6.2145
_cell_angle_alpha 29.56
_cell_angle_beta 90.00
_cell_angle_gamma 90.00
loop_
_space_group_symop_operation_xyz
'x,y,z'
loop_
_atom_site_label
_atom_site_type_symbol
_atom_site_fract_x
_atom_site_fract_y
_atom_site_fract_z
Ta1 Ta 0.0000 0.0000 0.0000
Re1 Re 0.0000 0.7290 0.7290
Re2 Re 0.5000 0.3541 0.3541
P1 P 0.5000 0.5831 0.5831
```

Calculated values
The spin magnetization is 0.00 μB per formula unit. The theoretical density is 15.8 g/cm³. The density of states at the Fermi level comes out at 0.616 states/eV/atom. As for the crystal system: orthorhombic.



Energies, relative to the best one, in eV/atom: a) 0.267; b) 0.000.



a) The following is a DFT calculation (PBE-GGA) of a relaxed TaRe2P crystal.

Structure (CIF):
```
data_TaRe2P
_space_group_name_H-M_alt 'P 1'
_space_group_IT_number 1
_cell_length_a 8.4492
_cell_length_b 8.4492
_cell_length_c 8.4492
_cell_angle_alpha 19.83
_cell_angle_beta 19.83
_cell_angle_gamma 19.83
loop_
_space_group_symop_operation_xyz
'x,y,z'
loop_
_atom_site_label
_atom_site_type_symbol
_atom_site_fract_x
_atom_site_fract_y
_atom_site_fract_z
Ta1 Ta 0.0000 0.0000 0.0000
Re1 Re 0.2402 0.2402 0.2402
Re2 Re 0.7598 0.7598 0.7598
P1 P 0.5000 0.5000 0.5000
```

Calculated values
The spin magnetization is 0.00 μB per formula unit. The theoretical density is 16.0 g/cm³. The density of states at the Fermi level comes out at 0.693 states/eV/atom. As for the crystal system: trigonal.



b) The following is a DFT calculation (PBE-GGA) of a relaxed TaRe2P crystal.

Structure (CIF):
```
data_TaRe2P
_space_group_name_H-M_alt 'P 1'
_space_group_IT_number 1
_cell_length_a 4.9118
_cell_length_b 4.9118
_cell_length_c 4.4758
_cell_angle_alpha 104.79
_cell_angle_beta 104.79
_cell_angle_gamma 36.07
loop_
_space_group_symop_operation_xyz
'x,y,z'
loop_
_atom_site_label
_atom_site_type_symbol
_atom_site_fract_x
_atom_site_fract_y
_atom_site_fract_z
Ta1 Ta 0.0000 0.0000 0.0000
Re1 Re 0.5070 0.5070 0.5073
Re2 Re 0.7663 0.7663 0.3646
P1 P 0.2486 0.2486 0.7857
```

Calculated values
The spin magnetization is 0.00 μB per formula unit. The theoretical density is 15.8 g/cm³. The density of states at the Fermi level comes out at 0.686 states/eV/atom. As for the crystal system: monoclinic.



Energies, relative to the best one, in eV/atom: a) 0.079; b) 0.000.



a) The following is a DFT calculation (PBE-GGA) of a relaxed TaRe2P crystal.

Structure (CIF):
```
data_TaRe2P
_space_group_name_H-M_alt 'P 1'
_space_group_IT_number 1
_cell_length_a 4.3925
_cell_length_b 4.3925
_cell_length_c 4.3925
_cell_angle_alpha 60.00
_cell_angle_beta 60.00
_cell_angle_gamma 60.00
loop_
_space_group_symop_operation_xyz
'x,y,z'
loop_
_atom_site_label
_atom_site_type_symbol
_atom_site_fract_x
_atom_site_fract_y
_atom_site_fract_z
Ta1 Ta 0.0000 0.0000 0.0000
Re1 Re 0.2500 0.2500 0.2500
Re2 Re 0.7500 0.7500 0.7500
P1 P 0.5000 0.5000 0.5000
```

Calculated values
The spin magnetization is 0.00 μB per formula unit. The theoretical density is 16.2 g/cm³. The density of states at the Fermi level comes out at 0.564 states/eV/atom. As for the crystal system: cubic.



b) The following is a DFT calculation (PBE-GGA) of a relaxed TaRe2P crystal.

Structure (CIF):
```
data_TaRe2P
_space_group_name_H-M_alt 'P 1'
_space_group_IT_number 1
_cell_length_a 4.4193
_cell_length_b 4.4193
_cell_length_c 4.4193
_cell_angle_alpha 60.00
_cell_angle_beta 60.00
_cell_angle_gamma 60.00
loop_
_space_group_symop_operation_xyz
'x,y,z'
loop_
_atom_site_label
_atom_site_type_symbol
_atom_site_fract_x
_atom_site_fract_y
_atom_site_fract_z
Ta1 Ta 0.0000 0.0000 0.0000
Re1 Re 0.2500 0.2500 0.2500
Re2 Re 0.5000 0.5000 0.5000
P1 P 0.7500 0.7500 0.7500
```

Calculated values
The spin magnetization is 0.00 μB per formula unit. The theoretical density is 15.9 g/cm³. The density of states at the Fermi level comes out at 0.871 states/eV/atom. As for the crystal system: cubic.



Energies, relative to the best one, in eV/atom: a) 0.000; b) 0.165.



a) The following is a DFT calculation (PBE-GGA) of a relaxed TaReP3 crystal.

Structure (CIF):
```
data_TaReP3
_space_group_name_H-M_alt 'P 1'
_space_group_IT_number 1
_cell_length_a 4.7686
_cell_length_b 4.7686
_cell_length_c 4.7686
_cell_angle_alpha 90.00
_cell_angle_beta 90.00
_cell_angle_gamma 90.00
loop_
_space_group_symop_operation_xyz
'x,y,z'
loop_
_atom_site_label
_atom_site_type_symbol
_atom_site_fract_x
_atom_site_fract_y
_atom_site_fract_z
Ta1 Ta 0.0000 0.0000 0.0000
Re1 Re 0.5000 0.5000 0.5000
P1 P 0.0000 0.0000 0.5000
P2 P 0.0000 0.5000 0.0000
P3 P 0.5000 0.0000 0.0000
```

Calculated values
The spin magnetization is 3.57 μB per formula unit. The theoretical density is 7.0 g/cm³. The density of states at the Fermi level comes out at 0.458 states/eV/atom. As for the crystal system: cubic.



b) The following is a DFT calculation (PBE-GGA) of a relaxed TaReP3 crystal.

Structure (CIF):
```
data_TaReP3
_space_group_name_H-M_alt 'P 1'
_space_group_IT_number 1
_cell_length_a 4.5959
_cell_length_b 4.5959
_cell_length_c 4.5959
_cell_angle_alpha 90.00
_cell_angle_beta 90.00
_cell_angle_gamma 90.00
loop_
_space_group_symop_operation_xyz
'x,y,z'
loop_
_atom_site_label
_atom_site_type_symbol
_atom_site_fract_x
_atom_site_fract_y
_atom_site_fract_z
Ta1 Ta 0.0000 0.0000 0.0000
Re1 Re 0.5000 0.5000 0.5000
P1 P 0.0000 0.5000 0.5000
P2 P 0.5000 0.0000 0.5000
P3 P 0.5000 0.5000 0.0000
```

Calculated values
The spin magnetization is 2.57 μB per formula unit. The theoretical density is 7.9 g/cm³. The density of states at the Fermi level comes out at 1.205 states/eV/atom. As for the crystal system: cubic.



Energies, relative to the best one, in eV/atom: a) 0.212; b) 0.000.



a) The following is a DFT calculation (PBE-GGA) of a relaxed TaRe3P crystal.

Structure (CIF):
```
data_TaRe3P
_space_group_name_H-M_alt 'P 1'
_space_group_IT_number 1
_cell_length_a 4.3564
_cell_length_b 4.3564
_cell_length_c 4.3564
_cell_angle_alpha 90.00
_cell_angle_beta 90.00
_cell_angle_gamma 90.00
loop_
_space_group_symop_operation_xyz
'x,y,z'
loop_
_atom_site_label
_atom_site_type_symbol
_atom_site_fract_x
_atom_site_fract_y
_atom_site_fract_z
Ta1 Ta 0.0000 0.0000 0.0000
Re1 Re 0.0000 0.5000 0.5000
Re2 Re 0.5000 0.0000 0.5000
Re3 Re 0.5000 0.5000 0.0000
P1 P 0.5000 0.5000 0.5000
```

Calculated values
The spin magnetization is 0.00 μB per formula unit. The theoretical density is 15.5 g/cm³. The density of states at the Fermi level comes out at 0.417 states/eV/atom. As for the crystal system: cubic.



b) The following is a DFT calculation (PBE-GGA) of a relaxed TaRe3P crystal.

Structure (CIF):
```
data_TaRe3P
_space_group_name_H-M_alt 'P 1'
_space_group_IT_number 1
_cell_length_a 4.7682
_cell_length_b 4.7682
_cell_length_c 4.7682
_cell_angle_alpha 90.00
_cell_angle_beta 90.00
_cell_angle_gamma 90.00
loop_
_space_group_symop_operation_xyz
'x,y,z'
loop_
_atom_site_label
_atom_site_type_symbol
_atom_site_fract_x
_atom_site_fract_y
_atom_site_fract_z
Ta1 Ta 0.0000 0.0000 0.0000
Re1 Re 0.0000 0.0000 0.5000
Re2 Re 0.0000 0.5000 0.0000
Re3 Re 0.5000 0.0000 0.0000
P1 P 0.5000 0.5000 0.5000
```

Calculated values
The spin magnetization is 0.00 μB per formula unit. The theoretical density is 11.8 g/cm³. The density of states at the Fermi level comes out at 1.341 states/eV/atom. As for the crystal system: cubic.



Energies, relative to the best one, in eV/atom: a) 0.000; b) 2.093.



a) The following is a DFT calculation (PBE-GGA) of a relaxed Ta3ReP crystal.

Structure (CIF):
```
data_Ta3ReP
_space_group_name_H-M_alt 'P 1'
_space_group_IT_number 1
_cell_length_a 4.8497
_cell_length_b 4.8497
_cell_length_c 4.8497
_cell_angle_alpha 90.00
_cell_angle_beta 90.00
_cell_angle_gamma 90.00
loop_
_space_group_symop_operation_xyz
'x,y,z'
loop_
_atom_site_label
_atom_site_type_symbol
_atom_site_fract_x
_atom_site_fract_y
_atom_site_fract_z
Ta1 Ta 0.0000 0.0000 0.5000
Ta2 Ta 0.0000 0.5000 0.0000
Ta3 Ta 0.5000 0.0000 0.0000
Re1 Re 0.0000 0.0000 0.0000
P1 P 0.5000 0.5000 0.5000
```

Calculated values
The spin magnetization is 0.00 μB per formula unit. The theoretical density is 11.1 g/cm³. The density of states at the Fermi level comes out at 1.279 states/eV/atom. As for the crystal system: cubic.



b) The following is a DFT calculation (PBE-GGA) of a relaxed Ta3ReP crystal.

Structure (CIF):
```
data_Ta3ReP
_space_group_name_H-M_alt 'P 1'
_space_group_IT_number 1
_cell_length_a 4.5218
_cell_length_b 4.5218
_cell_length_c 4.5218
_cell_angle_alpha 90.00
_cell_angle_beta 90.00
_cell_angle_gamma 90.00
loop_
_space_group_symop_operation_xyz
'x,y,z'
loop_
_atom_site_label
_atom_site_type_symbol
_atom_site_fract_x
_atom_site_fract_y
_atom_site_fract_z
Ta1 Ta 0.0000 0.0000 0.5000
Ta2 Ta 0.0000 0.5000 0.0000
Ta3 Ta 0.5000 0.0000 0.0000
Re1 Re 0.5000 0.5000 0.5000
P1 P 0.0000 0.0000 0.0000
```

Calculated values
The spin magnetization is 0.00 μB per formula unit. The theoretical density is 13.7 g/cm³. The density of states at the Fermi level comes out at 0.968 states/eV/atom. As for the crystal system: cubic.



Energies, relative to the best one, in eV/atom: a) 0.834; b) 0.000.



a) The following is a DFT calculation (PBE-GGA) of a relaxed ReTc3P crystal.

Structure (CIF):
```
data_ReTc3P
_space_group_name_H-M_alt 'P 1'
_space_group_IT_number 1
_cell_length_a 7.1117
_cell_length_b 7.1117
_cell_length_c 5.4062
_cell_angle_alpha 110.29
_cell_angle_beta 110.29
_cell_angle_gamma 33.54
loop_
_space_group_symop_operation_xyz
'x,y,z'
loop_
_atom_site_label
_atom_site_type_symbol
_atom_site_fract_x
_atom_site_fract_y
_atom_site_fract_z
Re1 Re 0.0834 0.0834 0.3274
Re2 Re 0.9166 0.9166 0.6726
Tc1 Tc 0.1273 0.1273 0.8829
Tc2 Tc 0.2966 0.2966 0.6955
Tc3 Tc 0.5000 0.5000 0.0000
Tc4 Tc 0.5000 0.5000 0.5000
Tc5 Tc 0.7034 0.7034 0.3045
Tc6 Tc 0.8727 0.8727 0.1171
P1 P 0.3063 0.3063 0.2621
P2 P 0.6937 0.6937 0.7379
```

Calculated values
The spin magnetization is 0.00 μB per formula unit. The theoretical density is 12.1 g/cm³. The density of states at the Fermi level comes out at 0.766 states/eV/atom. As for the crystal system: monoclinic.



b) The following is a DFT calculation (PBE-GGA) of a relaxed ReTc3P crystal.

Structure (CIF):
```
data_ReTc3P
_space_group_name_H-M_alt 'P 1'
_space_group_IT_number 1
_cell_length_a 4.3033
_cell_length_b 4.3033
_cell_length_c 4.3033
_cell_angle_alpha 90.00
_cell_angle_beta 90.00
_cell_angle_gamma 90.00
loop_
_space_group_symop_operation_xyz
'x,y,z'
loop_
_atom_site_label
_atom_site_type_symbol
_atom_site_fract_x
_atom_site_fract_y
_atom_site_fract_z
Re1 Re 0.0000 0.0000 0.0000
Tc1 Tc 0.0000 0.5000 0.5000
Tc2 Tc 0.5000 0.0000 0.5000
Tc3 Tc 0.5000 0.5000 0.0000
P1 P 0.5000 0.5000 0.5000
```

Calculated values
The spin magnetization is 1.22 μB per formula unit. The theoretical density is 10.7 g/cm³. The density of states at the Fermi level comes out at 1.113 states/eV/atom. As for the crystal system: cubic.



c) The following is a DFT calculation (PBE-GGA) of a relaxed ReTc3P crystal.

Structure (CIF):
```
data_ReTc3P
_space_group_name_H-M_alt 'P 1'
_space_group_IT_number 1
_cell_length_a 4.6839
_cell_length_b 4.6839
_cell_length_c 4.6839
_cell_angle_alpha 90.00
_cell_angle_beta 90.00
_cell_angle_gamma 90.00
loop_
_space_group_symop_operation_xyz
'x,y,z'
loop_
_atom_site_label
_atom_site_type_symbol
_atom_site_fract_x
_atom_site_fract_y
_atom_site_fract_z
Re1 Re 0.0000 0.0000 0.0000
Tc1 Tc 0.0000 0.0000 0.5000
Tc2 Tc 0.0000 0.5000 0.0000
Tc3 Tc 0.5000 0.0000 0.0000
P1 P 0.5000 0.5000 0.5000
```

Calculated values
The spin magnetization is 1.22 μB per formula unit. The theoretical density is 8.3 g/cm³. The density of states at the Fermi level comes out at 0.970 states/eV/atom. As for the crystal system: cubic.



Energies, relative to the best one, in eV/atom: a) 0.000; b) 0.892; c) 2.110.